# 1
! GGA-PBE Fe2RuPt, optimized geometry; values from VASP
! **Formation energy**: 0.02 eV per atom
&SYSTEM
  ibrav = 0, nat = 4, ntyp = 3
/
ATOMIC_SPECIES
Fe 55.84 Fe.upf
Ru 101.07 Ru.upf
Pt 195.08 Pt.upf
CELL_PARAMETERS angstrom
2.703 0.000 0.000
0.000 2.703 0.000
0.000 0.000 7.269
ATOMIC_POSITIONS crystal
Fe 0.000 0.000 0.000
Fe 0.500 0.500 0.232
Ru 0.500 0.500 0.776
Pt 0.000 0.000 0.492



# 2
DFT (GGA-PBE) results for PmGeS4 after structural relaxation. Values from VASP.

Structure (Quantum ESPRESSO input):
```
&SYSTEM
  ibrav = 0, nat = 12, ntyp = 3
/
ATOMIC_SPECIES
Pm 145.00 Pm.upf
Ge 72.64 Ge.upf
S 32.06 S.upf
CELL_PARAMETERS angstrom
6.920 0.000 0.000
0.000 6.920 0.000
0.000 0.000 5.648
ATOMIC_POSITIONS crystal
Pm 0.250 0.250 0.000
Pm 0.750 0.750 0.000
Ge 0.250 0.750 0.500
Ge 0.750 0.250 0.500
S 0.069 0.569 0.257
S 0.069 0.931 0.743
S 0.431 0.569 0.743
S 0.431 0.931 0.257
S 0.569 0.069 0.743
S 0.569 0.431 0.257
S 0.931 0.069 0.257
S 0.931 0.431 0.743
```



# 3
! GGA-PBE VTcIr, optimized geometry; values from VASP
! **Formation energy**: -0.23 eV per atom
! **Energy above the lowest structure with this stoichiometry**: 0.0588 eV/atom
&SYSTEM
  ibrav = 0, nat = 6, ntyp = 3
/
ATOMIC_SPECIES
V 50.94 V.upf
Tc 98.00 Tc.upf
Ir 192.22 Ir.upf
CELL_PARAMETERS angstrom
4.296 -1.917 0.000
4.296 1.917 0.000
-1.600 0.000 5.191
ATOMIC_POSITIONS crystal
V 0.000 0.000 0.000
V 0.664 0.664 0.817
Tc 0.345 0.345 0.172
Tc 0.682 0.682 0.318
Ir 0.009 0.009 0.507
Ir 0.337 0.337 0.676



# 4
DFT (GGA-PBE) results for CsSrI4 after structural relaxation. Values from VASP.

Structure (Quantum ESPRESSO input):
```
&SYSTEM
  ibrav = 0, nat = 12, ntyp = 3
/
ATOMIC_SPECIES
Cs 132.91 Cs.upf
Sr 87.62 Sr.upf
I 126.90 I.upf
CELL_PARAMETERS angstrom
6.076 -7.006 0.000
6.076 7.006 0.000
-4.848 0.000 7.009
ATOMIC_POSITIONS crystal
Cs 0.122 0.878 0.750
Cs 0.878 0.122 0.250
Sr 0.499 0.501 0.250
Sr 0.501 0.499 0.750
I 0.171 0.331 0.795
I 0.189 0.524 0.375
I 0.331 0.171 0.295
I 0.476 0.811 0.125
I 0.524 0.189 0.875
I 0.669 0.829 0.705
I 0.811 0.476 0.625
I 0.829 0.669 0.205
```



# 5
! GGA-PBE Cd3GaTe, optimized geometry; values from VASP
! **Energy above the lowest structure with this stoichiometry**: 0.0000 eV/atom
&SYSTEM
  ibrav = 0, nat = 5, ntyp = 3
/
ATOMIC_SPECIES
Cd 112.41 Cd.upf
Ga 69.72 Ga.upf
Te 127.60 Te.upf
CELL_PARAMETERS angstrom
5.214 0.000 0.000
0.000 5.214 0.000
0.000 0.000 5.214
ATOMIC_POSITIONS crystal
Cd 0.000 0.000 0.500
Cd 0.000 0.500 0.000
Cd 0.500 0.000 0.000
Ga 0.000 0.000 0.000
Te 0.500 0.500 0.500



# 6
DFT (GGA-PBE) results for KVCoTe3 after structural relaxation. Values from VASP.

Structure (Quantum ESPRESSO input):
```
&SYSTEM
  ibrav = 0, nat = 12, ntyp = 4
/
ATOMIC_SPECIES
K 39.10 K.upf
V 50.94 V.upf
Co 58.93 Co.upf
Te 127.60 Te.upf
CELL_PARAMETERS angstrom
9.326 0.000 0.000
0.000 3.838 0.000
-4.513 0.000 9.209
ATOMIC_POSITIONS crystal
K 0.009 0.250 0.260
K 0.991 0.750 0.740
V 0.470 0.250 0.178
V 0.530 0.750 0.822
Co 0.487 0.750 0.403
Co 0.513 0.250 0.597
Te 0.258 0.750 0.152
Te 0.321 0.750 0.543
Te 0.340 0.250 0.873
Te 0.660 0.750 0.127
Te 0.679 0.250 0.457
Te 0.742 0.250 0.848
```



# 7
! GGA-PBE Fe2CuAs, optimized geometry; values from VASP
! **Formation energy**: 0.10 eV per atom
&SYSTEM
  ibrav = 0, nat = 4, ntyp = 3
/
ATOMIC_SPECIES
Fe 55.84 Fe.upf
Cu 63.55 Cu.upf
As 74.92 As.upf
CELL_PARAMETERS angstrom
-1.833 1.833 3.739
1.833 -1.833 3.739
1.833 1.833 -3.739
ATOMIC_POSITIONS crystal
Fe 0.000 0.000 0.000
Fe 0.750 0.250 0.500
Cu 0.500 0.500 0.000
As 0.250 0.750 0.500



# 8
DFT (GGA-PBE) results for PmNd2RuN4 after structural relaxation. Values from VASP.

Structure (Quantum ESPRESSO input):
```
&SYSTEM
  ibrav = 0, nat = 16, ntyp = 4
/
ATOMIC_SPECIES
Pm 145.00 Pm.upf
Nd 144.24 Nd.upf
Ru 101.07 Ru.upf
N 14.01 N.upf
CELL_PARAMETERS angstrom
1.748 -5.992 0.000
1.748 5.992 0.000
0.000 0.000 12.109
ATOMIC_POSITIONS crystal
Pm 0.123 0.877 0.750
Pm 0.877 0.123 0.250
Nd 0.368 0.632 0.543
Nd 0.368 0.632 0.957
Nd 0.632 0.368 0.043
Nd 0.632 0.368 0.457
Ru 0.146 0.854 0.250
Ru 0.854 0.146 0.750
N 0.000 0.000 0.000
N 0.000 0.000 0.500
N 0.273 0.727 0.136
N 0.273 0.727 0.364
N 0.434 0.566 0.750
N 0.566 0.434 0.250
N 0.727 0.273 0.636
N 0.727 0.273 0.864
```



# 9
! GGA-PBE DyB2Ir5, optimized geometry; values from VASP
! **Formation energy**: -0.39 eV per atom
&SYSTEM
  ibrav = 0, nat = 8, ntyp = 3
/
ATOMIC_SPECIES
Dy 162.50 Dy.upf
B 10.81 B.upf
Ir 192.22 Ir.upf
CELL_PARAMETERS angstrom
-1.978 3.191 4.508
1.978 -3.191 4.508
1.978 3.191 -4.508
ATOMIC_POSITIONS crystal
Dy 0.000 0.000 0.000
B 0.260 0.760 0.500
B 0.740 0.240 0.500
Ir 0.141 0.351 0.790
Ir 0.439 0.649 0.790
Ir 0.500 0.000 0.500
Ir 0.561 0.351 0.210
Ir 0.859 0.649 0.210



# 10
DFT (GGA-PBE) results for Ca3U3SnN8 after structural relaxation. Values from VASP.

Structure (Quantum ESPRESSO input):
```
&SYSTEM
  ibrav = 0, nat = 15, ntyp = 4
/
ATOMIC_SPECIES
Ca 40.08 Ca.upf
U 238.03 U.upf
Sn 118.71 Sn.upf
N 14.01 N.upf
CELL_PARAMETERS angstrom
3.425 1.977 5.728
-3.425 1.977 5.728
0.000 -3.955 5.728
ATOMIC_POSITIONS crystal
Ca 0.000 0.500 0.500
Ca 0.500 0.000 0.500
Ca 0.500 0.500 0.000
U 0.000 0.000 0.500
U 0.000 0.500 0.000
U 0.500 0.000 0.000
Sn 0.500 0.500 0.500
N 0.235 0.734 0.734
N 0.241 0.241 0.241
N 0.266 0.266 0.765
N 0.266 0.765 0.266
N 0.734 0.235 0.734
N 0.734 0.734 0.235
N 0.759 0.759 0.759
N 0.765 0.266 0.266
```



# 11
! GGA-PBE Nb2As2Pb, optimized geometry; values from VASP
! **Formation energy**: -0.14 eV per atom
! **Energy above the lowest structure with this stoichiometry**: 0.0807 eV/atom
&SYSTEM
  ibrav = 0, nat = 5, ntyp = 3
/
ATOMIC_SPECIES
Nb 92.91 Nb.upf
As 74.92 As.upf
Pb 207.20 Pb.upf
CELL_PARAMETERS angstrom
-2.023 2.023 6.824
2.023 -2.023 6.824
2.023 2.023 -6.824
ATOMIC_POSITIONS crystal
Nb 0.250 0.750 0.500
Nb 0.750 0.250 0.500
As 0.121 0.121 0.000
As 0.879 0.879 0.000
Pb 0.500 0.500 0.000



# 12
! GGA-PBE MgCo2Cl, optimized geometry; values from VASP
! **Energy above the lowest structure with this stoichiometry**: 0.5698 eV/atom
&SYSTEM
  ibrav = 0, nat = 4, ntyp = 3
/
ATOMIC_SPECIES
Mg 24.30 Mg.upf
Co 58.93 Co.upf
Cl 35.45 Cl.upf
CELL_PARAMETERS angstrom
-1.940 1.940 3.890
1.940 -1.940 3.890
1.940 1.940 -3.890
ATOMIC_POSITIONS crystal
Mg 0.000 0.000 0.000
Co 0.500 0.500 0.000
Co 0.750 0.250 0.500
Cl 0.250 0.750 0.500



no.,volume (Å³ per atom),total DFT energy (no corrections) (eV/atom),calculated density (g cm⁻³)
1,13.275,-8.04,12.8
2,22.541,-5.19,4.2
3,14.252,-9.68,13.2
4,49.728,-2.71,4.1
5,28.347,-1.59,6.3
6,27.465,-4.88,5.4
7,12.557,-6.32,8.3
8,15.854,-7.94,7.7
9,14.229,-8.17,16.7
10,15.517,-8.32,7.6
11,22.330,-6.77,8.1
12,14.647,-3.91,5.0